BaLa: optimized geometry, GGA-PBE.

Properties
Energy of formation from the pure elements = 0.192 eV/atom
Energy relative to the lowest polymorph listed for this composition = 95 meV/atom
Volume = 94 Å³/f.u.
Symmetry = No. 12

Lattice parameters (Å, degrees): 14.7719 4.0151 7.1852 90.00 118.17 90.00
Last column: nearest neighbours and their distance in Å.
Fractional positions:
Ba  0.1145  0.0000  0.4385  5 Ba 3.88-4.18, 7 La 4.07-4.16
Ba  0.3855  0.5000  0.5615  5 Ba 3.88-4.18, 7 La 4.07-4.16
Ba  0.6145  0.5000  0.4385  5 Ba 3.88-4.18, 7 La 4.07-4.16
Ba  0.8855  0.0000  0.5615  5 Ba 3.88-4.18, 7 La 4.07-4.16
La  0.1422  0.5000  0.9707  4 La 3.62-4.02
La  0.3578  0.0000  0.0293  4 La 3.62-4.02
La  0.6422  0.0000  0.9707  4 La 3.62-4.02
La  0.8578  0.5000  0.0293  4 La 3.62-4.02

=====

TmGa4CuPd2: optimized geometry, GGA-PBE.

Properties
Energy of formation from the pure elements = -0.503 eV/atom
Volume = 134 Å³/f.u.
Symmetry = No. 166

Lattice parameters (Å, degrees): 8.8291 8.8291 8.8291 28.02 28.02 28.02
Last column: nearest neighbours and their distance in Å.
Fractional positions:
Tm  0.0000  0.0000  0.0000  6 Ga 2.94
Ga  0.1309  0.1309  0.1309  3 Cu 2.63, 4 Pd 2.66-2.80
Ga  0.3962  0.3962  0.3962  3 Pd 2.58, 1 Cu 2.64
Ga  0.6038  0.6038  0.6038  3 Pd 2.58, 1 Cu 2.64
Ga  0.8691  0.8691  0.8691  3 Cu 2.63, 4 Pd 2.66-2.80
Cu  0.5000  0.5000  0.5000  8 Ga 2.63-2.64
Pd  0.2410  0.2410  0.2410  7 Ga 2.58-2.80
Pd  0.7590  0.7590  0.7590  7 Ga 2.58-2.80

=====

Ce2Pm3NpN6: optimized geometry, GGA-PBE.

Properties
Energy relative to the elements, uncorrected = -1.417 eV per atom
Volume = 192 Å³/f.u.
Symmetry = No. 12

Lattice parameters (Å, degrees): 6.1683 6.1683 6.1758 99.62 99.62 119.96
Last column: nearest neighbours and their distance in Å.
Fractional positions:
Ce  0.1663  0.8337  0.0000  6 N 2.50
Ce  0.8337  0.1663  0.0000  6 N 2.50
Pm  0.0000  0.0000  0.5000  6 N 2.55-2.66
Pm  0.3326  0.6674  0.5000  6 N 2.55-2.66
Pm  0.6674  0.3326  0.5000  6 N 2.55-2.66
Np  0.5000  0.5000  0.0000  6 N 2.37-2.39
N  0.1061  0.4236  0.7704  1 Np 2.37, 2 Ce 2.50, 2 Pm 2.55
N  0.2589  0.2589  0.2322  1 Np 2.39, 2 Ce 2.50, 3 Pm 2.55-2.66
N  0.4236  0.1061  0.7704  1 Np 2.37, 2 Ce 2.50, 2 Pm 2.55
N  0.5764  0.8939  0.2296  1 Np 2.37, 2 Ce 2.50, 2 Pm 2.55
N  0.7411  0.7411  0.7678  1 Np 2.39, 2 Ce 2.50, 3 Pm 2.55-2.66
N  0.8939  0.5764  0.2296  1 Np 2.37, 2 Ce 2.50, 2 Pm 2.55

=====

YCdCo: optimized geometry, GGA-PBE.

Properties
Energy of formation from the pure elements = -0.042 eV/atom
Volume = 61 Å³/f.u.
Symmetry = No. 107

Lattice parameters (Å, degrees): 3.3730 3.3730 10.6543 90.00 90.00 90.00
Last column: nearest neighbours and their distance in Å.
Fractional positions:
Y  0.0000  0.0000  0.0000  4 Co 2.86, 1 Cd 3.05
Y  0.5000  0.5000  0.5000  4 Co 2.86, 1 Cd 3.05
Cd  0.0000  0.0000  0.2866  4 Co 2.81, 1 Y 3.05
Cd  0.5000  0.5000  0.7866  4 Co 2.81, 1 Y 3.05
Co  0.0000  0.0000  0.6477  4 Cd 2.81, 4 Y 2.86
Co  0.5000  0.5000  0.1477  4 Cd 2.81, 4 Y 2.86

=====

AcGaNi2H: optimized geometry, GGA-PBE.

Properties
Volume = 77 Å³/f.u.
VASP energy = -24.20 eV/f.u.
Symmetry = No. 63

Lattice parameters (Å, degrees): 5.8532 5.8532 6.9147 90.00 90.00 139.23
Last column: nearest neighbours and their distance in Å.
Fractional positions:
Ac  0.0719  0.9281  0.7500  4 H 2.79, 1 Ga 3.11
Ac  0.9281  0.0719  0.2500  4 H 2.79, 1 Ga 3.11
Ga  0.2119  0.7881  0.2500  6 Ni 2.48-2.56
Ga  0.7881  0.2119  0.7500  6 Ni 2.48-2.56
Ni  0.3379  0.6621  0.5607  1 H 1.83
Ni  0.3379  0.6621  0.9393  1 H 1.83
Ni  0.6621  0.3379  0.0607  1 H 1.83
Ni  0.6621  0.3379  0.4393  1 H 1.83
H  0.5000  0.5000  0.0000  2 Ni 1.83
H  0.5000  0.5000  0.5000  2 Ni 1.83

=====

CsZnCrSb2: optimized geometry, GGA-PBE.

Properties
Energy relative to the elements, uncorrected = 1.299 eV per atom
Volume = 163 Å³/f.u.
Symmetry = No. 123

Lattice parameters (Å, degrees): 5.3125 5.3125 5.7679 90.00 90.00 90.00
Last column: nearest neighbours and their distance in Å.
Fractional positions:
Cs  0.0000  0.0000  0.0000  2 Zn 2.88
Zn  0.0000  0.0000  0.5000  4 Sb 2.66, 2 Cs 2.88
Cr  0.5000  0.5000  0.0000  4 Cs 3.76, 8 Sb 3.92
Sb  0.0000  0.5000  0.5000  2 Zn 2.66
Sb  0.5000  0.0000  0.5000  2 Zn 2.66